[1]
Material: NbAlCu2H
Method: DFT, PBE
State: relaxed

a b c (Å): 3.8756 4.0141 3.8756
angles (deg): 90.00 90.00 90.00
Sites, in units of the cell vectors:
Cu 0.0000 0.0000 0.5000
Cu 0.5000 0.0000 0.0000
H 0.0000 0.0000 0.0000
Nb 0.0000 0.5000 0.0000
Al 0.5000 0.5000 0.5000

Computed properties:
As for the total DFT energy (no corrections): -25.949 eV per formula unit.



[2]
Material: LiVAs2
Method: DFT, PBE
State: relaxed

a b c (Å): 5.9927 5.9927 6.8085
angles (deg): 63.89 63.89 90.00
Sites, in units of the cell vectors:
As 0.6686 0.1250 0.2500
As 0.8750 0.9186 0.7500
As 0.0814 0.6250 0.2500
As 0.3750 0.3314 0.7500
V 0.0000 0.0000 0.0000
V 0.7500 0.2500 0.5000
Li 0.2500 0.7500 0.5000
Li 0.5000 0.5000 0.0000

Computed properties:
The value obtained for the energy relative to the elements is -0.07 eV/atom.



[3]
Material: NaAcGa2
Method: DFT, PBE
State: relaxed

a b c (Å): 4.7725 7.4290 12.4659
angles (deg): 90.00 90.00 90.00
Sites, in units of the cell vectors:
Na 0.2500 0.6247 0.9483
Na 0.7500 0.3753 0.0517
Na 0.7500 0.8753 0.4483
Na 0.2500 0.1247 0.5517
Ac 0.7500 0.8667 0.1460
Ac 0.2500 0.1333 0.8540
Ac 0.2500 0.6333 0.6460
Ac 0.7500 0.3667 0.3540
Ga 0.2500 0.5334 0.1824
Ga 0.7500 0.3112 0.6402
Ga 0.7500 0.8112 0.8598
Ga 0.7500 0.9666 0.6824
Ga 0.7500 0.4666 0.8176
Ga 0.2500 0.0334 0.3176
Ga 0.2500 0.1888 0.1402
Ga 0.2500 0.6888 0.3598

Computed properties:
The value obtained for the energy relative to the elements is -0.29 eV/atom.